! Nd2EuTc, optimized geometry, DFT PBE; values from VASP
! Calculated total energy: -7.288 eV per atom
! Magnetic moment: 7.1 μB/f.u.
! DFT formation energy: 256 meV per atom
! Fermi-level density of states: 2.8 states/eV/f.u.
! SG: No. 166
&SYSTEM
  ibrav = 0, nat = 4, ntyp = 3
/
ATOMIC_SPECIES
Nd 144.24 Nd.upf
Eu 151.96 Eu.upf
Tc 98.00 Tc.upf
CELL_PARAMETERS angstrom
2.4630 1.4220 5.3087
-2.4630 1.4220 5.3087
0.0000 -2.8441 5.3087
ATOMIC_POSITIONS crystal
Nd 0.2286 0.2286 0.2286
Nd 0.7714 0.7714 0.7714
Eu 0.0000 0.0000 0.0000
Tc 0.5000 0.5000 0.5000

***

! Ag3MoCl6, optimized geometry, DFT PBE; values from VASP
! Calculated total energy: -3.618 eV per atom
! Magnetic moment: 3.0 μB/f.u.
! Raw formation energy: -0.57 eV/atom
! SG: No. 14
&SYSTEM
  ibrav = 0, nat = 20, ntyp = 3
/
ATOMIC_SPECIES
Ag 107.87 Ag.upf
Mo 95.94 Mo.upf
Cl 35.45 Cl.upf
CELL_PARAMETERS angstrom
6.7631 0.0000 0.0000
0.0000 6.7415 0.0000
-6.4740 0.0000 10.2618
ATOMIC_POSITIONS crystal
Ag 0.0000 0.0000 0.0000
Ag 0.0000 0.5000 0.5000
Ag 0.2406 0.0430 0.7416
Ag 0.2406 0.4570 0.2416
Ag 0.7594 0.5430 0.7584
Ag 0.7594 0.9570 0.2584
Mo 0.5000 0.0000 0.5000
Mo 0.5000 0.5000 0.0000
Cl 0.1642 0.0870 0.2804
Cl 0.1642 0.4130 0.7804
Cl 0.2411 0.6699 0.0548
Cl 0.2411 0.8301 0.5548
Cl 0.4263 0.1939 0.0827
Cl 0.4263 0.3061 0.5827
Cl 0.5737 0.6939 0.4173
Cl 0.5737 0.8061 0.9173
Cl 0.7589 0.1699 0.4452
Cl 0.7589 0.3301 0.9452
Cl 0.8358 0.5870 0.2196
Cl 0.8358 0.9130 0.7196

***

! PuMnGaRh, optimized geometry, DFT PBE; values from VASP
! Calculated total energy: -8.813 eV per atom
! Magnetic moment: 2.7 μB/f.u.
! DFT formation energy: -343 meV per atom
! Fermi-level density of states: 6.9 states/eV/f.u.
! SG: No. 216
&SYSTEM
  ibrav = 0, nat = 4, ntyp = 4
/
ATOMIC_SPECIES
Pu 244.00 Pu.upf
Mn 54.94 Mn.upf
Ga 69.72 Ga.upf
Rh 102.91 Rh.upf
CELL_PARAMETERS angstrom
0.0000 3.2056 3.2056
3.2056 0.0000 3.2056
3.2056 3.2056 0.0000
ATOMIC_POSITIONS crystal
Pu 0.0000 0.0000 0.0000
Mn 0.7500 0.7500 0.7500
Ga 0.5000 0.5000 0.5000
Rh 0.2500 0.2500 0.2500

***

! Ag2BiPb, optimized geometry, DFT PBE; values from VASP
! Calculated total energy: -3.224 eV per atom
! Magnetic moment: 0.0 μB/f.u.
! DFT formation energy: 99 meV per atom
! Fermi-level density of states: 2.0 states/eV/f.u.
! SG: No. 123
&SYSTEM
  ibrav = 0, nat = 4, ntyp = 3
/
ATOMIC_SPECIES
Ag 107.87 Ag.upf
Bi 208.98 Bi.upf
Pb 207.20 Pb.upf
CELL_PARAMETERS angstrom
4.8969 0.0000 0.0000
0.0000 4.8969 0.0000
0.0000 0.0000 4.1005
ATOMIC_POSITIONS crystal
Ag 0.0000 0.5000 0.0000
Ag 0.5000 0.0000 0.0000
Bi 0.0000 0.0000 0.5000
Pb 0.5000 0.5000 0.5000

***

! ScNbIn2Pt, optimized geometry, DFT PBE; values from VASP
! Calculated total energy: -4.385 eV per atom
! Magnetic moment: 0.0 μB/f.u.
! DFT formation energy: 1198 meV per atom
! Fermi-level density of states: 4.3 states/eV/f.u.
! SG: No. 123
&SYSTEM
  ibrav = 0, nat = 5, ntyp = 4
/
ATOMIC_SPECIES
Sc 44.96 Sc.upf
Nb 92.91 Nb.upf
In 114.82 In.upf
Pt 195.08 Pt.upf
CELL_PARAMETERS angstrom
5.2472 0.0000 0.0000
0.0000 5.2472 0.0000
0.0000 0.0000 4.5125
ATOMIC_POSITIONS crystal
Sc 0.0000 0.0000 0.0000
Nb 0.0000 0.0000 0.5000
In 0.0000 0.5000 0.0000
In 0.5000 0.0000 0.0000
Pt 0.5000 0.5000 0.5000

***

! Ga5H, optimized geometry, DFT PBE; values from VASP
! Calculated total energy: -2.978 eV per atom
! Magnetic moment: 0.0 μB/f.u.
! Fermi-level density of states: 1.4 states/eV/f.u.
! SG: No. 12
&SYSTEM
  ibrav = 0, nat = 6, ntyp = 2
/
ATOMIC_SPECIES
Ga 69.72 Ga.upf
H 1.01 H.upf
CELL_PARAMETERS angstrom
5.3718 -2.4417 0.0000
5.3718 2.4417 0.0000
-0.6601 0.0000 3.8239
ATOMIC_POSITIONS crystal
Ga 0.0000 0.0000 0.0000
Ga 0.1925 0.1925 0.5594
Ga 0.3820 0.3820 0.1329
Ga 0.6180 0.6180 0.8671
Ga 0.8075 0.8075 0.4406
H 0.5000 0.5000 0.5000